Record 1
Below is a relaxed Ac2Pm4Sn3H2 crystal, with properties calculated at the PBE level.

## Properties
E	-52.38	eV per cell

Unit cell a=4.9033 b=4.9033 c=13.5679 alpha=100.41 beta=100.41 gamma=90.00
Last column: magnetic moment on the atom in μB.
Atoms (fractional coordinates):
Ac  0.3009  0.3009  0.6017  0.05
Ac  0.6991  0.6991  0.3983  0.05
Pm  0.4206  0.9206  0.8412  0.00
Pm  0.9206  0.4206  0.8412  0.00
Pm  0.0794  0.5794  0.1588  0.00
Pm  0.5794  0.0794  0.1588  0.00
Sn  0.0000  0.0000  0.0000  0.00
Sn  0.1676  0.1676  0.3352  -0.01
Sn  0.8324  0.8324  0.6648  -0.01
H  0.4042  0.4042  0.8084  0.00
H  0.5958  0.5958  0.1916  0.00

Record 2
Below is a relaxed AcPr2H7 crystal, with properties calculated at the PBE level.

## Properties
E	-43.10	eV per cell

Unit cell a=3.9487 b=3.9487 c=8.9865 alpha=102.69 beta=102.69 gamma=90.00
Atoms (fractional coordinates):
Ac  0.0000  0.0000  0.0000
Pr  0.6698  0.6698  0.3395
Pr  0.3302  0.3302  0.6605
H  0.0926  0.5926  0.1852
H  0.4074  0.9074  0.8148
H  0.5926  0.0926  0.1852
H  0.5000  0.5000  0.0000
H  0.7500  0.2500  0.5000
H  0.9074  0.4074  0.8148
H  0.2500  0.7500  0.5000

Record 3
Below is a relaxed Ac2Pr4H crystal, with properties calculated at the PBE level.

## Properties
E	-30.29	eV per cell

Unit cell a=5.1726 b=5.1726 c=9.8710 alpha=105.19 beta=105.19 gamma=90.00
Atoms (fractional coordinates):
Pr  0.8571  0.8571  0.7142
Pr  0.1429  0.1429  0.2858
Pr  0.0000  0.5000  0.0000
Pr  0.5000  0.0000  0.0000
H  0.0000  0.0000  0.0000
Ac  0.6538  0.6538  0.3077
Ac  0.3462  0.3462  0.6923

Record 4
Below is a relaxed AcPrH2 crystal, with properties calculated at the PBE level.

## Properties
offset from the most stable computed form	0.0	meV/atom
E	-17.01	eV per cell

Unit cell a=3.7990 b=3.7990 c=6.5551 alpha=73.16 beta=73.16 gamma=60.00
Atoms (fractional coordinates):
Pr  0.0000  0.0000  0.0000
H  0.7402  0.7402  0.7795
H  0.2598  0.2598  0.2205
Ac  0.5000  0.5000  0.5000